Material: PmNdSm3
Method: DFT, PBE
State: relaxed

Results
Total moment   0.000 μB per cell
Excess energy over the best structure of this formula in the dataset   107 meV per atom
Energy of formation   1.5 eV/f.u.

Unit cell a=3.6412 b=8.7804 c=11.8451 alpha=90.00 beta=90.00 gamma=101.90
Positions (direct):
Pm  0.3103  0.1210  0.2500
Pm  0.6897  0.8790  0.7500
Nd  0.9838  0.4651  0.2500
Nd  0.0162  0.5349  0.7500
Sm  0.8447  0.1913  0.9995
Sm  0.1553  0.8087  0.0005
Sm  0.8447  0.1913  0.5005
Sm  0.1553  0.8087  0.4995
Sm  0.6491  0.7959  0.2500
Sm  0.3509  0.2041  0.7500